[1]
Density functional theory data (GGA-PBE) for an optimized crystal structure of YPuSn.

Summary:
Energy = -8.333 eV per atom
E above lowest polymorph = 0.423 eV/atom
Calculated density = 10.1 g cm⁻³
DFT formation energy = -0.0672 eV per atom

abc: 3.3786 3.3786 25.9109
angles: 90.00 90.00 90.00
Space group I4/mmm (No. 139)
Unique sites:
Y: 0.0000 0.0000 0.0671
Pu: 0.0000 0.0000 0.2337
Sn: 0.0000 0.0000 0.3516

[2]
Density functional theory data (GGA-PBE) for an optimized crystal structure of LiZn3Ir.

Summary:
Energy = -3.178 eV per atom
E above lowest polymorph = 0.000 eV/atom
Calculated density = 9.3 g cm⁻³
DFT formation energy = -0.2586 eV per atom

abc: 4.1289 4.1277 8.5030
angles: 90.00 103.77 90.00
Space group P2_1/m (No. 11)
Unique sites:
Li: 0.1599 0.2500 0.3132
Zn: 0.0567 0.7500 0.1113
Zn: 0.2481 0.7500 0.5011
Zn: 0.4444 0.7500 0.8939
Ir: 0.3503 0.2500 0.6998

[3]
Density functional theory data (GGA-PBE) for an optimized crystal structure of Tm3AgRh2.

Summary:
Energy = -5.920 eV per atom
Calculated density = 11.0 g cm⁻³
DFT formation energy = -0.7583 eV per atom

abc: 3.3944 3.3944 10.7328
angles: 90.00 90.00 90.00
Space group P4/mmm (No. 123)
Unique sites:
Tm: 0.0000 0.0000 0.0000
Tm: 0.0000 0.0000 0.3121
Ag: 0.5000 0.5000 0.5000
Rh: 0.5000 0.5000 0.1612

[4]
Density functional theory data (GGA-PBE) for an optimized crystal structure of NaYTi.

Summary:
Energy = -4.526 eV per atom
E above lowest polymorph = 0.592 eV/atom
Calculated density = 3.3 g cm⁻³
DFT formation energy = 0.6997 eV per atom

abc: 5.5167 5.5167 3.0597
angles: 90.00 90.00 120.00
Space group P-6m2 (No. 187)
Unique sites:
Na: 0.0000 0.0000 0.0000
Y: 0.3333 0.6667 0.5000
Ti: 0.6667 0.3333 0.5000

Computed total magnetic moment, in the same sequence as the records: 0.00, 0.00, 0.00, 2.25 μB per formula unit.